Here is a geometry-optimized GaFe4Ge structure from Alexandria via LeMat-Bulk. Energies are from PBE.

Output
Fermi-level density of states (states/eV/atom): 0.73
Total magnetic moment (μB/f.u.): 8.65
Energy above the lowest structure with this stoichiometry (eV per atom): 0.000
Formation energy (meV per atom): 87

Unit cell a=7.1884 b=4.1294 c=5.8812 alpha=90.00 beta=111.22 gamma=90.00
Last column: nearest neighbours and their distance in Å.
Space group C2/m (No. 12)
Asymmetric unit:
Ga  0.0000  0.0000  0.0000 x2  6 Fe 2.42
Fe  0.1459  0.5000  0.9274 x4  1 Ge 2.35, 4 Fe 2.42-2.54, 3 Ga 2.42
Fe  0.2093  0.0000  0.6316 x4  1 Fe 2.42, 3 Ge 2.48-2.51
Ge  0.0000  0.5000  0.5000 x2  8 Fe 2.35-2.51

=====

Here is a geometry-optimized PrMgZn2Ga5 structure from Alexandria via LeMat-Bulk. Energies are from PBE.

Output
Fermi-level density of states (states/eV/atom): 0.37
Total magnetic moment (μB/f.u.): 0.00
Formation energy (meV per atom): 14

Unit cell a=4.4187 b=4.4187 c=10.5142 alpha=90.00 beta=90.00 gamma=90.00
Last column: nearest neighbours and their distance in Å.
Space group P4/mmm (No. 123)
Asymmetric unit:
Pr  0.0000  0.0000  0.0000 x1  4 Ga 3.12
Mg  0.0000  0.0000  0.5000 x1  8 Ga 2.76
Zn  0.5000  0.5000  0.2228 x2  5 Ga 2.34-2.54
Ga  0.0000  0.5000  0.3421 x4  2 Zn 2.54, 2 Mg 2.76
Ga  0.5000  0.5000  0.0000 x1  2 Zn 2.34

=====

Here is a geometry-optimized KCo2Ru structure from Alexandria via LeMat-Bulk. Energies are from PBE.

Output
Fermi-level density of states (states/eV/atom): 1.55
Total magnetic moment (μB/f.u.): 3.47
Energy above the lowest structure with this stoichiometry (eV per atom): 0.584
Formation energy (meV per atom): 1274

Unit cell a=7.2137 b=7.2137 c=6.3446 alpha=90.00 beta=90.00 gamma=90.00
Last column: nearest neighbours and their distance in Å.
Space group I-42d (No. 122)
Asymmetric unit:
K  0.0000  0.0000  0.0000 x4  8 Co 3.13-3.21, 2 Ru 3.17
Co  0.1627  0.7500  0.6250 x8  2 Ru 2.29
Ru  0.0000  0.0000  0.5000 x4  4 Co 2.29

=====

Here is a geometry-optimized ScCu2 structure from Alexandria via LeMat-Bulk. Energies are from PBE.

Output
Fermi-level density of states (states/eV/atom): 0.56
Total magnetic moment (μB/f.u.): 0.00
Formation energy (meV per atom): -129

Unit cell a=3.5430 b=3.5430 c=15.8558 alpha=90.00 beta=90.00 gamma=90.00
Last column: nearest neighbours and their distance in Å.
Space group I4_1/amd (No. 141, origin choice 2)
Asymmetric unit:
Sc  0.0000  0.2500  0.3750 x4  8 Cu 2.78
Cu  0.0000  0.2500  0.7988 x8  3 Cu 2.35-2.42

=====

Here is a geometry-optimized Ce2Nd3Tc2 structure from Alexandria via LeMat-Bulk. Energies are from PBE.

Output
Fermi-level density of states (states/eV/atom): 1.19
Total magnetic moment (μB/f.u.): 0.00
Formation energy (meV per atom): -53

Unit cell a=3.9069 b=6.4020 c=8.9178 alpha=69.84 beta=89.99 gamma=72.25
Last column: nearest neighbours and their distance in Å.
Space group P-1 (No. 2)
Asymmetric unit:
Ce  0.1772  0.1470  0.3088 x2  2 Tc 2.48
Nd  0.3810  0.7361  0.0836 x2  3 Tc 3.11-3.25, 1 Nd 3.46
Nd  0.5000  0.5000  0.5000 x1  4 Tc 3.19, 2 Nd 3.46
Tc  0.2042  0.0917  0.7107 x2  2 Ce 2.48

=====

Here is a geometry-optimized KCd3Pt structure from Alexandria via LeMat-Bulk. Energies are from PBE.

Output
Fermi-level density of states (states/eV/atom): 1.43
Total magnetic moment (μB/f.u.): 1.00
Energy above the lowest structure with this stoichiometry (eV per atom): 1.446
Formation energy (meV per atom): 1191

Unit cell a=6.2764 b=6.2764 c=6.2764 alpha=90.00 beta=90.00 gamma=90.00
Last column: nearest neighbours and their distance in Å.
Space group Pm-3m (No. 221)
Asymmetric unit:
K  0.0000  0.0000  0.0000 x1  6 Cd 3.14
Cd  0.0000  0.0000  0.5000 x3  2 K 3.14
Pt  0.5000  0.5000  0.5000 x1  12 Cd 4.44

=====

Here is a geometry-optimized Ca2LaAl structure from Alexandria via LeMat-Bulk. Energies are from PBE.

Output
Fermi-level density of states (states/eV/atom): 0.71
Total magnetic moment (μB/f.u.): 0.00
Formation energy (meV per atom): -62

Unit cell a=7.9198 b=7.9300 c=5.6023 alpha=90.00 beta=134.98 gamma=90.00
Last column: nearest neighbours and their distance in Å.
Space group C2 (No. 5)
Asymmetric unit:
Ca  0.0000  0.0000  0.0000 x2  4 Ca 3.43, 4 La 3.43
Ca  0.0000  0.2498  0.5000 x2  4 Al 3.43, 4 Ca 3.43
La  0.0000  0.7500  0.5000 x2  4 Al 3.43, 4 Ca 3.43
Al  0.0000  0.4997  0.0000 x2  4 La 3.43, 4 Ca 3.43

=====

Here is a geometry-optimized K2TcBrCl5 structure from Alexandria via LeMat-Bulk. Energies are from PBE.

Output
Total magnetic moment (μB/f.u.): 3.00
Formation energy without anion corrections (eV/atom): -1.28

Unit cell a=7.1670 b=7.1670 c=10.1882 alpha=90.00 beta=90.00 gamma=90.00
Last column: nearest neighbours and their distance in Å.
Space group I4mm (No. 107)
Asymmetric unit:
K  0.0000  0.5000  0.0000 x4  2 Br 3.58, 10 Cl 3.59-3.60
Tc  0.0000  0.0000  0.2506 x2  5 Cl 2.37-2.38, 1 Br 2.53
Br  0.0000  0.0000  0.0021 x2  1 Tc 2.53
Cl  0.0000  0.0000  0.4843 x2  1 Tc 2.38
Cl  0.2342  0.2342  0.2493 x8  1 Tc 2.37

=====

Here is a geometry-optimized HoTm2GaN structure from Alexandria via LeMat-Bulk. Energies are from PBE.

Output
Fermi-level density of states (states/eV/atom): 0.46
Total magnetic moment (μB/f.u.): 0.00
Formation energy without anion corrections (eV/atom): -1.00

Unit cell a=4.6630 b=4.6630 c=4.7170 alpha=90.00 beta=90.00 gamma=90.00
Last column: nearest neighbours and their distance in Å.
Space group P4/mmm (No. 123)
Asymmetric unit:
Ho  0.0000  0.0000  0.0000 x1  2 N 2.36
Tm  0.0000  0.5000  0.5000 x2  2 N 2.33
Ga  0.5000  0.5000  0.0000 x1  4 Ho 3.30, 8 Tm 3.32
N  0.0000  0.0000  0.5000 x1  4 Tm 2.33, 2 Ho 2.36

=====

Here is a geometry-optimized NdMnCoN3 structure from Alexandria via LeMat-Bulk. Energies are from PBE.

Output
Fermi-level density of states (states/eV/atom): 0.54
Total magnetic moment (μB/f.u.): 2.05
Formation energy without anion corrections (eV/atom): -0.44

Unit cell a=6.4019 b=3.1061 c=7.4966 alpha=90.00 beta=105.73 gamma=90.00
Last column: nearest neighbours and their distance in Å.
Space group P2_1/m (No. 11)
Asymmetric unit:
Nd  0.2014  0.2500  0.2205 x2  7 N 2.46-2.59
Mn  0.3350  0.7500  0.8737 x2  5 N 1.93-2.06
Co  0.1262  0.2500  0.6029 x2  4 N 1.90-1.96
N  0.1293  0.2500  0.8629 x2  1 Co 1.94, 2 Mn 2.02
N  0.1911  0.7500  0.4822 x2  3 Co 1.90-1.96
N  0.4592  0.7500  0.1389 x2  3 Mn 1.93-2.06

=====

Here is a geometry-optimized PaBeO4 structure from Alexandria via LeMat-Bulk. Energies are from PBE.

Output
Fermi-level density of states (states/eV/atom): 0.80
Total magnetic moment (μB/f.u.): 0.28
Energy above the lowest structure with this stoichiometry (eV per atom): 0.000
Formation energy without anion corrections (eV/atom): -2.82

Unit cell a=6.7583 b=6.7583 c=6.1847 alpha=90.00 beta=90.00 gamma=90.00
Last column: nearest neighbours and their distance in Å.
Space group I4_1/amd (No. 141, origin choice 2)
Asymmetric unit:
Pa  0.0000  0.2500  0.3750 x4  8 O 2.19-2.36
Be  0.0000  0.2500  0.8750 x4  4 O 1.65
O  0.0000  0.0672  0.6993 x16  1 Be 1.65

=====

Here is a geometry-optimized Nd3Cu2Rh7 structure from Alexandria via LeMat-Bulk. Energies are from PBE.

Output
Fermi-level density of states (states/eV/atom): 0.67
Total magnetic moment (μB/f.u.): 0.00
Formation energy (meV per atom): -506

Unit cell a=5.3709 b=5.3709 c=25.6679 alpha=90.00 beta=90.00 gamma=120.00
Last column: nearest neighbours and their distance in Å.
Space group R-3m (No. 166, hexagonal axes)
Asymmetric unit:
Nd  0.0000  0.0000  0.0000 x3  6 Cu 3.10, 12 Rh 3.40
Nd  0.0000  0.0000  0.1400 x6  12 Rh 3.08-3.26, 3 Nd 3.39
Cu  0.0000  0.0000  0.3338 x6  6 Rh 2.60-2.61
Rh  0.0000  0.0000  0.5000 x3  6 Rh 2.69
Rh  0.0028  0.5014  0.9185 x18  2 Cu 2.60-2.61, 5 Rh 2.66-2.71